This record from the Alexandria database describes an optimized crystal structure of BeCuN. The functional is PBE-GGA.

abc: 4.8837 3.8125 6.3472
angles: 87.77 100.38 141.40
Closest atoms and distances in Å follow each position.
Positions (direct):
1 Cu 0.1215 0.4883 0.7999  2 N 1.90-1.92
2 Cu 0.2586 0.1035 0.0746  2 N 1.91-1.93
3 Be 0.8357 0.1840 0.2289  3 N 1.67-1.69
4 Be 0.4674 0.9229 0.4919  2 N 1.53
5 N 0.2771 0.6162 0.1118  2 Be 1.69
6 N 0.9680 0.3953 0.4931  3 Be 1.53-1.67

Properties
calculated density	4.02	g cm⁻³
energy relative to the elements, uncorrected	-0.26	eV per atom
symmetry	No. 8

***

This record from the Alexandria database describes an optimized crystal structure of Be2CuN. The functional is PBE-GGA.

abc: 2.6954 4.2445 6.3883
angles: 87.33 87.19 82.38
Closest atoms and distances in Å follow each position.
Positions (direct):
1 N 0.6164 0.7624 0.3882  5 Be 1.66-1.74
2 N 0.1327 0.2705 0.1429  4 Be 1.60-1.66
3 Be 0.1640 0.5343 0.3184  3 N 1.63-1.74
4 Be 0.6692 0.5465 0.6121  1 N 1.66
5 Be 0.6666 0.1785 0.0231  2 N 1.60-1.61
6 Be 0.0833 0.0069 0.3400  3 N 1.66-1.74
7 Cu 0.0773 0.6307 0.8937  1 N 2.15, 2 Be 2.22-2.35
8 Cu 0.3595 0.0879 0.6874  4 Be 2.24-2.43, 1 N 2.43, 1 Cu 2.48

Properties
calculated density	4.39	g cm⁻³
energy relative to the elements, uncorrected	-0.39	eV per atom
symmetry	No. 1